(1)
PBE+U FeCOF2, relaxed; excess energy over the best structure of this formula in the dataset = 55 meV per atom; DOS at the Fermi energy = 0.272 states/eV/atom; magnetization = 3.981 μB/cell; DFT total energy = -4.636 eV/atom
1.0
3.945 0.000 0.000
0.000 3.945 0.000
0.000 0.000 3.365
F C Fe O
2 1 1 1
Direct
0.000 0.500 0.000
0.500 0.000 0.000
0.000 0.000 0.000
0.500 0.500 0.500
0.000 0.000 0.500



(2)
PBE+U FeCOF2, relaxed; excess energy over the best structure of this formula in the dataset = 0 meV per atom; DOS at the Fermi energy = 0.111 states/eV/atom; magnetization = 6.000 μB/cell; DFT total energy = -4.691 eV/atom
1.0
3.878 0.000 0.000
0.000 3.878 0.000
0.000 0.000 4.004
C Fe F O
1 1 2 1
Direct
0.500 0.500 0.500
0.000 0.000 0.000
0.000 0.500 0.000
0.500 0.000 0.000
0.000 0.000 0.500



(3)
PBE+U FeOsC2F, relaxed; DOS at the Fermi energy = 0.283 states/eV/atom; magnetization = 4.063 μB/cell; DFT total energy = -6.641 eV/atom
1.0
-3.837 -0.102 -0.147
0.022 -4.688 2.659
-0.178 1.893 3.338
F C Os Fe
1 2 1 1
Direct
0.500 0.500 0.500
0.500 0.000 0.000
0.000 0.000 0.500
0.000 0.000 0.000
0.000 0.500 0.000



(4)
PBE+U FeSiCF2, relaxed; DOS at the Fermi energy = 0.302 states/eV/atom; magnetization = 4.594 μB/cell; DFT total energy = -4.750 eV/atom
1.0
-1.494 3.328 0.220
-3.102 -1.474 1.249
2.097 0.554 5.864
C Si F Fe
1 1 2 1
Direct
0.500 0.500 0.500
0.000 0.000 0.500
0.500 0.000 0.000
0.000 0.500 0.000
0.000 0.000 0.000